No. 1
DFT (PBE) results for crystalline Ho7TmZn4 at its relaxed geometry.

## Properties
The calculation puts the uncorrected energy at -3.461 eV/atom. The calculated formation energy comes out at 0.01 eV/atom. For the volume, the calculation gives 308.5 Å³/f.u.

Lattice parameters (Å, degrees): 7.4627 7.4627 9.6724 120.50 120.50 43.12
Fractional coordinates of all 12 atoms:
Ho (0.0000, 0.0000, 0.0000)
Ho (0.2234, 0.2234, 0.6733)
Ho (0.2895, 0.2895, 0.1190)
Ho (0.4295, 0.4295, 0.5959)
Ho (0.5705, 0.5705, 0.4041)
Ho (0.7105, 0.7105, 0.8810)
Ho (0.7766, 0.7766, 0.3267)
Tm (0.5000, 0.5000, 0.0000)
Zn (0.0433, 0.0433, 0.7357)
Zn (0.1781, 0.1781, 0.3385)
Zn (0.8219, 0.8219, 0.6615)
Zn (0.9567, 0.9567, 0.2643)


No. 2
DFT (PBE) results for crystalline Ho2Tm3Zn3 at its relaxed geometry.

## Properties
The calculation puts the uncorrected energy at -3.550 eV/atom. The calculated formation energy comes out at -0.25 eV/atom. For the volume, the calculation gives 192.6 Å³/f.u.

Lattice parameters (Å, degrees): 3.5637 5.0941 21.2166 90.00 90.00 90.00
Fractional coordinates of all 16 atoms:
Ho (0.0000, 0.0000, 0.2285)
Ho (0.0000, 0.0000, 0.7715)
Ho (0.5000, 0.5000, 0.2715)
Ho (0.5000, 0.5000, 0.7285)
Tm (0.0000, 0.0000, 0.0000)
Tm (0.0000, 0.5000, 0.1180)
Tm (0.0000, 0.5000, 0.8820)
Tm (0.5000, 0.0000, 0.3820)
Tm (0.5000, 0.0000, 0.6180)
Tm (0.5000, 0.5000, 0.5000)
Zn (0.0000, 0.0000, 0.5000)
Zn (0.0000, 0.5000, 0.3857)
Zn (0.0000, 0.5000, 0.6143)
Zn (0.5000, 0.0000, 0.1143)
Zn (0.5000, 0.0000, 0.8857)
Zn (0.5000, 0.5000, 0.0000)


No. 3
DFT (PBE) results for crystalline Ho6TmZn at its relaxed geometry.

## Properties
The calculation puts the uncorrected energy at -4.103 eV/atom. The calculated formation energy comes out at 0.05 eV/atom. For the volume, the calculation gives 235.5 Å³/f.u.

Lattice parameters (Å, degrees): 6.2040 6.2040 6.2040 95.31 95.31 95.31
Fractional coordinates of all 8 atoms:
Ho (0.0430, 0.7627, 0.5743)
Ho (0.2373, 0.4257, 0.9570)
Ho (0.4257, 0.9570, 0.2373)
Ho (0.5743, 0.0430, 0.7627)
Ho (0.7627, 0.5743, 0.0430)
Ho (0.9570, 0.2373, 0.4257)
Tm (0.5000, 0.5000, 0.5000)
Zn (0.0000, 0.0000, 0.0000)


No. 4
DFT (PBE) results for crystalline HoTm2Zn5 at its relaxed geometry.

## Properties
The calculation puts the uncorrected energy at -2.801 eV/atom. The calculated formation energy comes out at -0.31 eV/atom. For the volume, the calculation gives 159.0 Å³/f.u.

Lattice parameters (Å, degrees): 4.7788 4.7788 13.9259 90.00 90.00 90.00
Fractional coordinates of all 16 atoms:
Ho (0.0000, 0.0000, 0.0000)
Ho (0.5000, 0.5000, 0.5000)
Tm (0.0000, 0.0000, 0.2650)
Tm (0.0000, 0.0000, 0.7350)
Tm (0.5000, 0.5000, 0.2350)
Tm (0.5000, 0.5000, 0.7650)
Zn (0.0000, 0.0000, 0.5000)
Zn (0.0000, 0.5000, 0.1167)
Zn (0.0000, 0.5000, 0.3833)
Zn (0.0000, 0.5000, 0.6167)
Zn (0.0000, 0.5000, 0.8833)
Zn (0.5000, 0.0000, 0.1167)
Zn (0.5000, 0.0000, 0.3833)
Zn (0.5000, 0.0000, 0.6167)
Zn (0.5000, 0.0000, 0.8833)
Zn (0.5000, 0.5000, 0.0000)


Copy entry 3 word for word.
DFT (PBE) results for crystalline Ho6TmZn at its relaxed geometry.

## Properties
The calculation puts the uncorrected energy at -4.103 eV/atom. The calculated formation energy comes out at 0.05 eV/atom. For the volume, the calculation gives 235.5 Å³/f.u.

Lattice parameters (Å, degrees): 6.2040 6.2040 6.2040 95.31 95.31 95.31
Fractional coordinates of all 8 atoms:
Ho (0.0430, 0.7627, 0.5743)
Ho (0.2373, 0.4257, 0.9570)
Ho (0.4257, 0.9570, 0.2373)
Ho (0.5743, 0.0430, 0.7627)
Ho (0.7627, 0.5743, 0.0430)
Ho (0.9570, 0.2373, 0.4257)
Tm (0.5000, 0.5000, 0.5000)
Zn (0.0000, 0.0000, 0.0000)


Among the records above, which one has the lowest uncorrected energy? Ho6TmZn


Which formula does entry 3 have? Ho6TmZn